(1)
Entry from the Alexandria database: a relaxed structure of Cd2Ga2Rh (GGA-PBE).

a b c (Å): 6.5895 6.5895 4.2994
angles (deg): 90.00 90.00 90.00
Fractional positions:
Rh 0.0000 0.0000 0.0000
Rh 0.5000 0.5000 0.0000
Ga 0.3608 0.8608 0.0000
Ga 0.8608 0.6392 0.0000
Ga 0.6392 0.1392 0.0000
Ga 0.1392 0.3608 0.0000
Cd 0.1733 0.6733 0.5000
Cd 0.6733 0.8267 0.5000
Cd 0.8267 0.3267 0.5000
Cd 0.3267 0.1733 0.5000

energy relative to the elements	-0.18	eV per formula unit


(2)
Entry from the Alexandria database: a relaxed structure of CdGaRh (GGA-PBE).

a b c (Å): 4.1376 7.3190 6.8291
angles (deg): 90.00 90.00 90.00
Fractional positions:
Cd 0.2500 0.8268 0.5125
Cd 0.7500 0.3268 0.9875
Cd 0.2500 0.6732 0.0125
Cd 0.7500 0.1732 0.4875
Ga 0.7500 0.8797 0.2021
Ga 0.7500 0.6203 0.7021
Ga 0.2500 0.1203 0.7979
Ga 0.2500 0.3797 0.2979
Rh 0.7500 0.5625 0.3357
Rh 0.7500 0.9375 0.8357
Rh 0.2500 0.0625 0.1643
Rh 0.2500 0.4375 0.6643

energy relative to the elements	-0.91	eV per formula unit


(3)
Entry from the Alexandria database: a relaxed structure of CdGa2Rh2 (GGA-PBE).

a b c (Å): 3.7941 3.7941 6.5203
angles (deg): 73.09 73.09 90.00
Fractional positions:
Rh 0.3890 0.3890 0.2219
Rh 0.6110 0.6110 0.7781
Ga 0.7500 0.2500 0.5000
Ga 0.2500 0.7500 0.5000
Cd 0.0000 0.0000 0.0000

energy relative to the elements	-1.66	eV per formula unit


(4)
Entry from the Alexandria database: a relaxed structure of Cd2GaRh (GGA-PBE).

a b c (Å): 2.8420 2.8420 11.4612
angles (deg): 82.88 82.88 60.00
Last column: magnetic moment on the atom in μB.
Fractional positions:
Rh 0.0000 0.0000 0.0000  0.55
Ga 0.5000 0.5000 0.5000  0.00
Cd 0.0806 0.0806 0.7583  0.00
Cd 0.9194 0.9194 0.2417  0.00

energy relative to the elements	1.08	eV per formula unit


(5)
Entry from the Alexandria database: a relaxed structure of Cd3GaRh4 (GGA-PBE).

a b c (Å): 3.1148 3.1148 13.2755
angles (deg): 90.00 90.00 90.00
Fractional positions:
Rh 0.0000 0.0000 0.8936
Rh 0.0000 0.0000 0.1064
Rh 0.0000 0.0000 0.3703
Rh 0.0000 0.0000 0.6297
Ga 0.5000 0.5000 0.0000
Cd 0.5000 0.5000 0.2426
Cd 0.5000 0.5000 0.5000
Cd 0.5000 0.5000 0.7574

energy relative to the elements	-2.03	eV per formula unit


(6)
Entry from the Alexandria database: a relaxed structure of CdGa2Rh2 (GGA-PBE).

a b c (Å): 7.3103 7.3103 2.9641
angles (deg): 90.00 90.00 90.00
Fractional positions:
Rh 0.3529 0.8529 0.0000
Rh 0.8529 0.6471 0.0000
Rh 0.6471 0.1471 0.0000
Rh 0.1471 0.3529 0.0000
Ga 0.1487 0.6487 0.5000
Ga 0.6487 0.8513 0.5000
Ga 0.8513 0.3513 0.5000
Ga 0.3513 0.1487 0.5000
Cd 0.0000 0.0000 0.0000
Cd 0.5000 0.5000 0.0000

energy relative to the elements	-2.47	eV per formula unit


(7)
Entry from the Alexandria database: a relaxed structure of CdGaRh3 (GGA-PBE).

a b c (Å): 4.5629 4.5629 4.5629
angles (deg): 90.00 90.00 90.00
Last column: magnetic moment on the atom in μB.
Fractional positions:
Rh 0.0000 0.5000 0.0000  0.53
Rh 0.0000 0.0000 0.5000  0.68
Rh 0.5000 0.0000 0.0000  0.34
Ga 0.0000 0.0000 0.0000  -0.03
Cd 0.5000 0.5000 0.5000  -0.01

energy relative to the elements	2.40	eV per formula unit


(8)
Entry from the Alexandria database: a relaxed structure of CdGa2Rh2 (GGA-PBE).

a b c (Å): 7.3046 7.3046 2.9217
angles (deg): 90.00 90.00 90.00
Fractional positions:
Rh 0.1595 0.6595 0.5000
Rh 0.6595 0.8405 0.5000
Rh 0.8405 0.3405 0.5000
Rh 0.3405 0.1595 0.5000
Ga 0.3645 0.8645 0.0000
Ga 0.8645 0.6355 0.0000
Ga 0.6355 0.1355 0.0000
Ga 0.1355 0.3645 0.0000
Cd 0.0000 0.0000 0.0000
Cd 0.5000 0.5000 0.0000

energy relative to the elements	-2.45	eV per formula unit